VASP calculation (PBE-GGA) on a relaxed RbHfTa2Br crystal.

Geometry as POSCAR:
```
RbHfTa2Br
1.0
4.988 0.000 0.000
0.000 4.988 0.000
0.000 0.000 7.777
Rb Hf Ta Br
1 1 2 1
direct
0.000 0.000 0.000 Rb
0.000 0.000 0.500 Hf
0.000 0.500 0.500 Ta
0.500 0.000 0.500 Ta
0.500 0.500 0.000 Br
```

* total magnetization: 0.00 μB/f.u.
* energy relative to the elements, uncorrected: 1.578 eV/atom
* raw total energy: -0.418 Ry per atom
* symmetry: P4/mmm

---

VASP calculation (PBE-GGA) on a relaxed K4ZnAg crystal.

Geometry as POSCAR:
```
K4ZnAg
1.0
0.000 5.419 5.419
5.419 0.000 5.419
5.419 5.419 0.000
K Zn Ag
4 1 1
direct
0.376 0.376 0.376 K
0.376 0.376 0.873 K
0.376 0.873 0.376 K
0.873 0.376 0.376 K
0.000 0.000 0.000 Zn
0.750 0.750 0.750 Ag
```

* total magnetization: 0.00 μB/f.u.
* raw total energy: -0.076 Ry per atom
* symmetry: F-43m
* energy relative to the elements: 2.3 eV per formula unit